# 1
Computed, not measured: a relaxed Ni2AsRu crystal at the PBE-GGA level of DFT.

Summary:
E_form = 10.63 kJ/mol of atoms
Fermi-level density of states = 1.15 states/eV per atom
symmetry = I4/mmm (139)
energy = -6.2618 eV/atom

Lattice parameters (Å, degrees): 4.651 4.651 4.651 133.96 133.96 67.16
Element x y z (fractional)
Ni  0.250  0.750  0.500
Ni  0.750  0.250  0.500
As  0.000  0.000  0.000
Ru  0.500  0.500  0.000

***

# 2
Computed, not measured: a relaxed Ni2AsRu crystal at the PBE-GGA level of DFT.

Summary:
E_form = 7.31 kJ/mol of atoms
Fermi-level density of states = 1.31 states/eV per atom
symmetry = Pmmm (47)
energy = -6.2962 eV/atom

Lattice parameters (Å, degrees): 2.760 3.673 5.087 90.00 90.00 90.00
Element x y z (fractional)
Ni  0.000  0.000  0.243
Ni  0.000  0.000  0.757
As  0.500  0.500  0.500
Ru  0.500  0.500  0.000